# V6Mo

A geometry-optimized V6Mo structure (PBE, Alexandria via LeMat-Bulk).

The structure in POSCAR format:
```
V6Mo
1.0
4.234 0.000 0.000
0.000 4.234 0.000
0.000 0.000 5.867
V Mo
6 1
Direct
0.500 0.500 0.000
0.000 0.500 0.258
0.000 0.000 0.500
0.000 0.500 0.742
0.500 0.000 0.258
0.500 0.000 0.742
0.000 0.000 0.000
```

Values from the calculation:
N(E_F)	11.7	states/eV per cell
energy above the lowest structure with this stoichiometry	429	meV per atom
space group	No. 123
energy of formation	2.7	eV per formula unit